The following is a DFT calculation (GGA-PBE) of a geometry-optimized AcScZn2Au5 structure.

Values from the calculation:
DOS(E_F) (states/eV/cell): 4.70
Size of the total moment (Bohr magnetons per cell): 0.00
Total energy (eV per atom): -3.679
Energy of formation (eV per formula unit): -3.74

Lattice parameters (Å, degrees): 4.9804 4.9804 7.8518 90.00 90.00 90.00
Closest atoms and distances in Å follow each position.
Space group P4/mmm (No. 123)
Symmetry-distinct sites (fractional):
Ac  0.0000  0.0000  0.0000 x1  12 Au 3.38-3.52
Sc  0.0000  0.0000  0.5000 x1  8 Au 2.98
Zn  0.5000  0.5000  0.3387 x2  5 Au 2.52-2.66, 1 Zn 2.53
Au  0.0000  0.5000  0.2910 x4  2 Zn 2.52
Au  0.5000  0.5000  0.0000 x1  2 Zn 2.66